# 1
Below is Nd4DyHo2Er after structural relaxation, with properties calculated at the PBE-GGA level.

Lattice parameters (Å, degrees): 5.1132 5.1392 10.0441 90.00 90.00 90.00
With the nearest neighbours (Å) after each atom.
Space group Pmmm (No. 47)
Unique sites:
Nd 0.0000 0.0000 0.2494 [2 per cell]  2 Er 3.58, 4 Ho 3.59, 2 Dy 3.60, 4 Nd 3.62
Nd 0.5000 0.5000 0.2494 [2 per cell]  4 Ho 3.58-3.60, 2 Dy 3.59, 2 Er 3.59, 4 Nd 3.62
Dy 0.0000 0.5000 0.5000 [1 per cell]  8 Nd 3.59-3.60, 4 Ho 3.62
Ho 0.0000 0.5000 0.0000 [1 per cell]  8 Nd 3.58-3.59, 4 Er 3.62
Ho 0.5000 0.0000 0.5000 [1 per cell]  8 Nd 3.59-3.60, 4 Dy 3.62
Er 0.5000 0.0000 0.0000 [1 per cell]  8 Nd 3.58-3.59, 4 Ho 3.62

## Properties
formation energy from the elements = 17 meV per atom
magnetic moment = 0.000 μB/atom
calculated volume = 33.0 A^3/atom

=====

# 2
Below is Nd2DyHoEr4 after structural relaxation, with properties calculated at the PBE-GGA level.

Lattice parameters (Å, degrees): 6.7918 11.7685 13.2412 90.00 90.00 90.00
With the nearest neighbours (Å) after each atom.
Space group Imma (No. 74)
Unique sites:
Nd 0.0000 0.0000 0.0000 [4 per cell]  6 Er 3.34-3.40, 2 Ho 3.40
Nd 0.2500 0.2500 0.2500 [4 per cell]  6 Er 3.35-3.43, 2 Nd 3.40
Dy 0.2500 0.2500 0.7500 [4 per cell]  6 Er 3.27-3.37, 2 Dy 3.40
Ho 0.0000 0.0000 0.5000 [4 per cell]  6 Er 3.29-3.39, 2 Nd 3.40
Er 0.0000 0.0031 0.7481 [8 per cell]  1 Ho 3.29, 3 Nd 3.34-3.43, 2 Dy 3.37, 2 Er 3.40
Er 0.2487 0.2500 0.5028 [8 per cell]  1 Dy 3.27, 3 Nd 3.35-3.40, 2 Er 3.38-3.41, 2 Ho 3.39

## Properties
formation energy from the elements = 431 meV per atom
magnetic moment = 0.342 μB/atom
calculated volume = 33.1 A^3/atom

=====

# 3
Below is Nd2DyHo5Er after structural relaxation, with properties calculated at the PBE-GGA level.

Lattice parameters (Å, degrees): 8.5835 8.5835 15.7165 90.00 90.00 90.00
With the nearest neighbours (Å) after each atom.
Space group I4/mcm (No. 140)
Unique sites:
Nd 0.1181 0.3819 0.0000 [8 per cell]  1 Nd 2.87, 2 Ho 3.02
Dy 0.0000 0.0000 0.2500 [4 per cell]  10 Ho 3.51-3.93
Ho 0.0000 0.0000 0.0000 [4 per cell]  4 Nd 3.43, 8 Ho 3.78
Ho 0.2132 0.2868 0.3592 [16 per cell]  1 Nd 3.02, 1 Er 3.11
Er 0.0000 0.5000 0.2500 [4 per cell]  4 Ho 3.11

## Properties
formation energy from the elements = 276 meV per atom
magnetic moment = 0.000 μB/atom
calculated volume = 32.2 A^3/atom

=====

# 4
Below is Nd2DyHo4Er after structural relaxation, with properties calculated at the PBE-GGA level.

Lattice parameters (Å, degrees): 13.6118 13.2569 6.7992 90.00 119.97 90.00
With the nearest neighbours (Å) after each atom.
Space group C2/c (No. 15)
Unique sites:
Nd 0.0000 0.0000 0.0000 [4 per cell]  6 Ho 3.35-3.44, 2 Nd 3.40
Nd 0.2500 0.2500 0.0000 [4 per cell]  6 Ho 3.35-3.41, 2 Er 3.40
Dy 0.0000 0.5000 0.0000 [4 per cell]  6 Ho 3.28-3.38, 2 Dy 3.40
Ho 0.0004 0.2529 0.0020 [8 per cell]  1 Dy 3.28, 3 Nd 3.35-3.41, 2 Ho 3.38-3.42, 2 Er 3.39-3.40
Ho 0.2471 0.4974 0.4952 [8 per cell]  1 Er 3.28, 3 Nd 3.35-3.44, 2 Dy 3.37-3.38, 2 Ho 3.40
Er 0.2500 0.2500 0.5000 [4 per cell]  6 Ho 3.28-3.40, 2 Nd 3.40

## Properties
formation energy from the elements = 428 meV per atom
magnetic moment = 0.348 μB/atom
calculated volume = 33.2 A^3/atom

=====

# 5
Below is Nd2Dy2Ho2Er after structural relaxation, with properties calculated at the PBE-GGA level.

Lattice parameters (Å, degrees): 11.7155 3.5142 11.8081 90.00 109.10 90.00
With the nearest neighbours (Å) after each atom.
Space group C2/m (No. 12)
Unique sites:
Nd 0.1718 0.0000 0.0856 [4 per cell]  5 Nd 3.51-3.87, 4 Ho 3.54-3.61, 2 Dy 3.60
Dy 0.2268 0.5000 0.3644 [4 per cell]  3 Ho 3.47-3.57, 4 Dy 3.51-3.54, 3 Er 3.52-3.54, 2 Nd 3.60
Ho 0.0499 0.0000 0.7689 [4 per cell]  3 Dy 3.47-3.57, 2 Er 3.51, 2 Ho 3.51, 4 Nd 3.54-3.61
Er 0.0000 0.5000 0.5000 [2 per cell]  4 Ho 3.51, 2 Er 3.51, 6 Dy 3.52-3.54

## Properties
formation energy from the elements = 86 meV per atom
magnetic moment = 0.000 μB/atom
calculated volume = 32.8 A^3/atom

=====

# 6
Below is Nd2DyHoEr5 after structural relaxation, with properties calculated at the PBE-GGA level.

Lattice parameters (Å, degrees): 8.5772 8.5772 15.6163 90.00 90.00 90.00
With the nearest neighbours (Å) after each atom.
Space group I4/mcm (No. 140)
Unique sites:
Nd 0.1178 0.3822 0.0000 [8 per cell]  1 Nd 2.86, 2 Er 3.01
Dy 0.0000 0.0000 0.2500 [4 per cell]  10 Er 3.51-3.90
Ho 0.0000 0.5000 0.2500 [4 per cell]  4 Er 3.10
Er 0.0000 0.0000 0.0000 [4 per cell]  4 Nd 3.43, 8 Er 3.77
Er 0.2128 0.2872 0.3595 [16 per cell]  1 Nd 3.01, 1 Ho 3.10

## Properties
formation energy from the elements = 274 meV per atom
magnetic moment = 0.000 μB/atom
calculated volume = 31.9 A^3/atom